SbMoCl2: relaxed, GGA-PBE.

Results
- DOS at the Fermi energy: 0.49 states/eV/atom
- ΔE_f (raw): 0.4264 eV/atom
- Spin magnetization: 4.082 μB per cell
- Relative energy among the computed polymorphs: 730 meV per atom

The structure in CIF format:
```
data_SbMoCl2
_chemical_formula_sum 'Sb2 Mo2 Cl4'
_symmetry_space_group_name_H-M 'I -4 m 2'
_symmetry_Int_Tables_number 119
_symmetry_space_group_name_Hall 'I -4 -2'
_cell_length_a 5.3850
_cell_length_b 5.3850
_cell_length_c 5.7397
_cell_angle_alpha 90.00
_cell_angle_beta 90.00
_cell_angle_gamma 90.00
loop_
_atom_site_label
_atom_site_type_symbol
_atom_site_fract_x
_atom_site_fract_y
_atom_site_fract_z
Sb1 Sb 0.0000 0.0000 0.0000
Mo1 Mo 0.0000 0.5000 0.7500
Cl1 Cl 0.0000 0.0000 0.5000
Cl2 Cl 0.0000 0.5000 0.2500
```

---

Zr2HgBi2: relaxed, GGA-PBE.

Results
- DOS at the Fermi energy: 0.66 states/eV/atom
- Energy of formation: -1.26 eV/f.u.
- Spin magnetization: 0.000 μB per cell
- Relative energy among the computed polymorphs: 0 meV per atom

The structure in CIF format:
```
data_Zr2HgBi2
_chemical_formula_sum 'Zr4 Hg2 Bi4'
_symmetry_space_group_name_H-M 'P 4/m b m'
_symmetry_Int_Tables_number 127
_symmetry_space_group_name_Hall '-P 4 2ab'
_cell_length_a 8.0359
_cell_length_b 8.0359
_cell_length_c 3.9731
_cell_angle_alpha 90.00
_cell_angle_beta 90.00
_cell_angle_gamma 90.00
loop_
_atom_site_label
_atom_site_type_symbol
_atom_site_fract_x
_atom_site_fract_y
_atom_site_fract_z
Zr1 Zr 0.1417 0.3583 0.0000
Hg1 Hg 0.0000 0.0000 0.0000
Bi1 Bi 0.1552 0.6552 0.5000
```

---

SrMnAsSe2: relaxed, GGA-PBE.

Results
- DOS at the Fermi energy: 1.37 states/eV/atom
- ΔE_f (raw): 0.6900 eV/atom
- Spin magnetization: 3.467 μB per cell
- Relative energy among the computed polymorphs: 1351 meV per atom

The structure in CIF format:
```
data_SrMnAsSe2
_chemical_formula_sum 'Sr1 Mn1 As1 Se2'
_symmetry_space_group_name_H-M 'P 4/m m m'
_symmetry_Int_Tables_number 123
_symmetry_space_group_name_Hall '-P 4 2'
_cell_length_a 5.6833
_cell_length_b 5.6833
_cell_length_c 5.7057
_cell_angle_alpha 90.00
_cell_angle_beta 90.00
_cell_angle_gamma 90.00
loop_
_atom_site_label
_atom_site_type_symbol
_atom_site_fract_x
_atom_site_fract_y
_atom_site_fract_z
Sr1 Sr 0.0000 0.0000 0.0000
Mn1 Mn 0.5000 0.5000 0.5000
As1 As 0.0000 0.0000 0.5000
Se1 Se 0.0000 0.5000 0.0000
```

---

AuSe2Br: relaxed, GGA-PBE.

Results
- DOS at the Fermi energy: 0.85 states/eV/atom
- ΔE_f (raw): 0.2241 eV/atom
- Spin magnetization: 0.000 μB per cell

The structure in CIF format:
```
data_AuSe2Br
_chemical_formula_sum 'Au2 Se4 Br2'
_symmetry_space_group_name_H-M 'C m m 2'
_symmetry_Int_Tables_number 35
_symmetry_space_group_name_Hall 'C 2 -2'
_cell_length_a 3.7293
_cell_length_b 7.7709
_cell_length_c 7.8115
_cell_angle_alpha 90.00
_cell_angle_beta 90.00
_cell_angle_gamma 90.00
loop_
_atom_site_label
_atom_site_type_symbol
_atom_site_fract_x
_atom_site_fract_y
_atom_site_fract_z
Au1 Au 0.0000 0.0000 0.0000
Se1 Se 0.0000 0.0000 0.4622
Se2 Se 0.0000 0.5000 0.2362
Br1 Br 0.0000 0.5000 0.7590
```